Computed, not measured: a relaxed structure of Cs3RbC2O6 at the PBE-GGA level of DFT.

Results
**Symmetry**: P-3m1 (164)
**Crystal system**: trigonal
**Energy**: -6.041 eV per atom

Cell lengths 6.2609, 6.2609, 7.6918 Å; angles 90.00, 90.00, 120.00 degrees
Closest atoms and distances in Å follow each position.
Fractional coordinates of all 12 atoms:
Cs (0.0000, 0.0000, 0.0000)  6 O 3.10
Cs (0.3333, 0.6667, 0.7079)  6 O 3.17, 1 C 3.38
Cs (0.6667, 0.3333, 0.2921)  6 O 3.17, 1 C 3.38
Rb (0.0000, 0.0000, 0.5000)  6 O 2.91
C (0.3333, 0.6667, 0.2683)  3 O 1.31
C (0.6667, 0.3333, 0.7317)  3 O 1.31
O (0.2127, 0.4254, 0.2697)  1 C 1.31
O (0.2127, 0.7873, 0.2697)  1 C 1.31
O (0.4254, 0.2127, 0.7303)  1 C 1.31
O (0.5746, 0.7873, 0.2697)  1 C 1.31
O (0.7873, 0.2127, 0.7303)  1 C 1.31
O (0.7873, 0.5746, 0.7303)  1 C 1.31

---

Computed, not measured: a relaxed structure of Cs2RbC2O6 at the PBE-GGA level of DFT.

Results
**Symmetry**: C2/m (12)
**Crystal system**: monoclinic
**Energy**: -6.249 eV per atom

Cell lengths 6.3083, 6.3083, 7.9550 Å; angles 116.62, 116.62, 57.21 degrees
Closest atoms and distances in Å follow each position.
Fractional coordinates of all 11 atoms:
Cs (0.2037, 0.2037, 0.1787)  9 O 3.19-3.50
Cs (0.7963, 0.7963, 0.8213)  9 O 3.19-3.50
Rb (0.0000, 0.0000, 0.5000)  6 O 2.87-2.98
C (0.4448, 0.4448, 0.7452)  3 O 1.29-1.30
C (0.5552, 0.5552, 0.2548)  3 O 1.29-1.30
O (0.3024, 0.6737, 0.2214)  1 C 1.30
O (0.3108, 0.3108, 0.6761)  1 C 1.29
O (0.3263, 0.6976, 0.7786)  1 C 1.30
O (0.6737, 0.3024, 0.2214)  1 C 1.30
O (0.6892, 0.6892, 0.3239)  1 C 1.29
O (0.6976, 0.3263, 0.7786)  1 C 1.30